1.
VASP calculation (PBE) on crystalline ZnCdAsBr2 at its relaxed geometry.

Cell lengths 5.156, 5.156, 5.177 Å; angles 90.00, 90.00, 90.00 degrees
Atoms (fractional coordinates):
Zn 0.000 0.000 0.000
Cd 0.500 0.500 0.500
As 0.000 0.000 0.500
Br 0.000 0.500 0.000
Br 0.500 0.000 0.000

Calculated values
**Uncorrected energy**: -9.67 eV/cell
**Offset from the most stable computed form**: 0.00 kcal/mol of atoms
**Magnetic moment**: 1.03 μB/f.u.
**ΔE_f (raw)**: 0.10 eV per atom
**Space-group type**: No. 123

2.
VASP calculation (PBE) on crystalline RbSiAu at its relaxed geometry.

Cell lengths 7.034, 7.034, 8.135 Å; angles 125.32, 125.32, 38.75 degrees
Atoms (fractional coordinates):
Rb 0.204 0.204 0.204
Rb 0.796 0.796 0.796
Si 0.000 0.000 0.362
Si 0.000 0.000 0.638
Au 0.500 0.500 0.281
Au 0.500 0.500 0.719

Calculated values
**Uncorrected energy**: -20.54 eV/cell
**Offset from the most stable computed form**: 0.00 kcal/mol of atoms
**Magnetic moment**: 0.00 μB/f.u.
**ΔE_f (raw)**: -0.20 eV per atom
**Space-group type**: No. 12

3.
VASP calculation (PBE) on crystalline NdTh2Sc at its relaxed geometry.

Cell lengths 3.540, 3.540, 9.879 Å; angles 90.00, 90.00, 90.00 degrees
Atoms (fractional coordinates):
Nd 0.000 0.000 0.000
Th 0.500 0.500 0.266
Th 0.500 0.500 0.734
Sc 0.000 0.000 0.500

Calculated values
**Uncorrected energy**: -25.65 eV/cell
**Offset from the most stable computed form**: 0.65 kcal/mol of atoms
**Magnetic moment**: 0.00 μB/f.u.
**Space-group type**: No. 123
**Energy relative to the elements**: 0.07 eV per atom

4.
VASP calculation (PBE) on crystalline OsPdICl2 at its relaxed geometry.

Cell lengths 4.587, 4.587, 5.867 Å; angles 90.00, 90.00, 90.00 degrees
Atoms (fractional coordinates):
Os 0.000 0.000 0.000
Pd 0.500 0.500 0.500
I 0.000 0.000 0.500
Cl 0.000 0.500 0.000
Cl 0.500 0.000 0.000

Calculated values
**Uncorrected energy**: -18.73 eV/cell
**Magnetic moment**: 1.90 μB/f.u.
**ΔE_f (raw)**: 0.59 eV per atom
**Space-group type**: No. 123

5.
VASP calculation (PBE) on crystalline AcPu2Zn2Sn2 at its relaxed geometry.

Cell lengths 9.871, 9.871, 9.871 Å; angles 27.70, 27.70, 27.70 degrees
Atoms (fractional coordinates):
Ac 0.000 0.000 0.000
Pu 0.146 0.146 0.146
Pu 0.854 0.854 0.854
Zn 0.432 0.432 0.432
Zn 0.568 0.568 0.568
Sn 0.260 0.260 0.260
Sn 0.740 0.740 0.740

Calculated values
**Uncorrected energy**: -45.26 eV/cell
**Magnetic moment**: 12.16 μB/f.u.
**Space-group type**: No. 166
**Energy relative to the elements**: -0.28 eV per atom